## Na3Hg2BPt3 (PBE-GGA)

Data for a relaxed Na3Hg2BPt3 crystal.

Unit cell a=7.7017 b=7.7017 c=3.1179 alpha=90.00 beta=90.00 gamma=120.00
Space group P-62m (No. 189)
Symmetry-distinct sites (fractional):
Na: 0.0000 0.6226 0.0000 (multiplicity 3)
Hg: 0.3333 0.6667 0.5000 (multiplicity 2)
B: 0.0000 0.0000 0.0000 (multiplicity 1)
Pt: 0.0000 0.2131 0.5000 (multiplicity 3)

Its total energy is -3.432 eV/atom. The density of states at the Fermi level is 0.362 states/eV/atom. The value obtained for the calculated formation energy is -16 kJ per mole of atoms. The mass density comes out at 11.054 g/cm3.